Compound: Na2MnPdBr6
Source: Alexandria via LeMat-Bulk
Functional: PBE
Structure: optimized geometry

Cell: 7.120 7.119 7.388 Å, 61.19 61.19 60.00°
Atoms (fractional coordinates):
Na 0.527 0.527 0.418
Na 0.026 0.026 0.923
Mn 0.324 0.324 0.028
Pd 0.824 0.824 0.528
Br 0.577 0.184 0.267
Br 0.184 0.972 0.267
Br 0.972 0.577 0.267
Br 0.466 0.678 0.773
Br 0.678 0.084 0.773
Br 0.084 0.466 0.773

Crystal system   trigonal
M_tot   3.03 μB/f.u.
Final energy   -0.1320 Ha/atom


Compound: RbNa3Mn4Br12
Source: Alexandria via LeMat-Bulk
Functional: PBE
Structure: optimized geometry

Cell: 9.624 9.624 9.624 Å, 106.15 106.15 106.15°
Atoms (fractional coordinates):
Rb 0.000 0.000 0.000
Na 0.559 0.441 0.000
Na 0.441 0.000 0.559
Na 0.000 0.559 0.441
Mn 0.937 0.063 0.500
Mn 0.063 0.500 0.937
Mn 0.500 0.937 0.063
Mn 0.500 0.500 0.500
Br 0.500 0.343 0.657
Br 0.906 0.500 0.094
Br 0.094 0.906 0.500
Br 0.500 0.094 0.906
Br 0.338 0.940 0.218
Br 0.218 0.338 0.940
Br 0.940 0.218 0.338
Br 0.662 0.782 0.060
Br 0.060 0.662 0.782
Br 0.782 0.060 0.662
Br 0.657 0.500 0.343
Br 0.343 0.657 0.500

Crystal system   trigonal
M_tot   20.00 μB/f.u.
Final energy   -0.1510 Ha/atom


Compound: Rb3NaMn2Br8
Source: Alexandria via LeMat-Bulk
Functional: PBE
Structure: optimized geometry

Cell: 7.898 7.898 9.816 Å, 90.00 90.00 120.00°
Atoms (fractional coordinates):
Rb 0.333 0.667 0.617
Rb 0.667 0.333 0.383
Rb 0.000 0.000 0.000
Na 0.000 0.000 0.500
Mn 0.333 0.667 0.205
Mn 0.667 0.333 0.795
Br 0.333 0.667 0.957
Br 0.667 0.333 0.043
Br 0.167 0.833 0.312
Br 0.833 0.167 0.688
Br 0.167 0.333 0.312
Br 0.833 0.667 0.688
Br 0.667 0.833 0.312
Br 0.333 0.167 0.688

Crystal system   trigonal
M_tot   10.00 μB/f.u.
Final energy   -0.1425 Ha/atom


Compound: Rb3Na3MnBr8
Source: Alexandria via LeMat-Bulk
Functional: PBE
Structure: optimized geometry

Cell: 8.821 8.828 9.380 Å, 118.10 90.00 119.98°
Atoms (fractional coordinates):
Rb 0.000 0.000 0.000
Rb 0.000 0.500 0.000
Rb 0.500 0.500 0.000
Na 0.500 0.000 0.500
Na 0.500 0.500 0.500
Na 0.000 0.500 0.500
Mn 0.000 0.000 0.500
Br 0.263 0.527 0.290
Br 0.737 0.473 0.710
Br 0.785 0.571 0.307
Br 0.215 0.429 0.693
Br 0.785 0.021 0.307
Br 0.215 0.979 0.693
Br 0.236 0.021 0.307
Br 0.764 0.979 0.693

Crystal system   monoclinic
M_tot   5.00 μB/f.u.
Final energy   -0.1258 Ha/atom


Compound: RbNaMn2Br6
Source: Alexandria via LeMat-Bulk
Functional: PBE
Structure: optimized geometry

Cell: 7.411 10.062 10.062 Å, 90.87 83.71 83.71°
Atoms (fractional coordinates):
Rb 0.250 0.899 0.101
Rb 0.750 0.101 0.899
Na 0.250 0.290 0.710
Na 0.750 0.710 0.290
Mn 0.225 0.779 0.618
Mn 0.275 0.382 0.221
Mn 0.775 0.221 0.382
Mn 0.725 0.618 0.779
Br 0.186 0.979 0.771
Br 0.314 0.229 0.021
Br 0.814 0.021 0.229
Br 0.686 0.771 0.979
Br 0.395 0.830 0.405
Br 0.105 0.595 0.170
Br 0.605 0.170 0.595
Br 0.895 0.405 0.830
Br 0.903 0.719 0.579
Br 0.597 0.421 0.281
Br 0.097 0.281 0.421
Br 0.403 0.579 0.719

Crystal system   monoclinic
M_tot   10.00 μB/f.u.
Final energy   -0.1536 Ha/atom


Compound: Rb2NaMnBr5
Source: Alexandria via LeMat-Bulk
Functional: PBE
Structure: optimized geometry

Cell: 4.446 10.479 14.259 Å, 90.00 90.00 102.25°
Atoms (fractional coordinates):
Rb 0.867 0.735 0.824
Rb 0.130 0.260 0.682
Rb 0.133 0.265 0.324
Rb 0.870 0.740 0.182
Na 0.786 0.572 0.535
Na 0.214 0.428 0.035
Mn 0.563 0.126 0.931
Mn 0.437 0.874 0.431
Br 0.353 0.705 0.005
Br 0.680 0.361 0.883
Br 0.504 0.008 0.780
Br 0.300 0.599 0.666
Br 0.956 0.911 0.519
Br 0.647 0.295 0.505
Br 0.320 0.639 0.383
Br 0.496 0.992 0.280
Br 0.700 0.401 0.166
Br 0.044 0.089 0.019

Crystal system   orthorhombic
M_tot   4.98 μB/f.u.
Final energy   -0.1356 Ha/atom


Compound: NaMnSe2Br
Source: Alexandria via LeMat-Bulk
Functional: PBE
Structure: optimized geometry

Cell: 5.096 5.096 5.333 Å, 90.00 90.00 90.00°
Atoms (fractional coordinates):
Na 0.000 0.000 0.000
Mn 0.500 0.500 0.500
Se 0.000 0.500 0.000
Se 0.500 0.000 0.000
Br 0.000 0.000 0.500

Distance to the lowest polymorph of the same formula   777 meV/atom
Crystal system   tetragonal
M_tot   4.77 μB/f.u.


Compound: NaMnSeBr2
Source: Alexandria via LeMat-Bulk
Functional: PBE
Structure: optimized geometry

Cell: 5.205 5.205 5.452 Å, 90.00 90.00 90.00°
Atoms (fractional coordinates):
Na 0.000 0.000 0.000
Mn 0.500 0.500 0.500
Se 0.000 0.000 0.500
Br 0.000 0.500 0.000
Br 0.500 0.000 0.000

Distance to the lowest polymorph of the same formula   844 meV/atom
Crystal system   tetragonal
M_tot   3.98 μB/f.u.


Compound: NaMnSe2Br
Source: Alexandria via LeMat-Bulk
Functional: PBE
Structure: optimized geometry

Cell: 4.594 4.594 5.704 Å, 90.00 90.00 90.00°
Atoms (fractional coordinates):
Na 0.500 0.500 0.500
Mn 0.000 0.000 0.000
Se 0.000 0.500 0.000
Se 0.500 0.000 0.000
Br 0.000 0.000 0.500

Distance to the lowest polymorph of the same formula   0 meV/atom
Crystal system   tetragonal
M_tot   0.00 μB/f.u.


Compound: NaMnSeBr2
Source: Alexandria via LeMat-Bulk
Functional: PBE
Structure: optimized geometry

Cell: 5.324 5.324 4.864 Å, 90.00 90.00 90.00°
Atoms (fractional coordinates):
Na 0.500 0.500 0.500
Mn 0.000 0.000 0.000
Se 0.000 0.000 0.500
Br 0.000 0.500 0.000
Br 0.500 0.000 0.000

Distance to the lowest polymorph of the same formula   0 meV/atom
Crystal system   tetragonal
M_tot   3.99 μB/f.u.


Compound: NaSmMnBr6
Source: Alexandria via LeMat-Bulk
Functional: PBE
Structure: optimized geometry

Cell: 7.114 7.114 13.428 Å, 90.00 90.00 120.00°
Atoms (fractional coordinates):
Na 0.000 0.000 0.000
Na 0.000 0.000 0.500
Sm 0.333 0.667 0.250
Sm 0.667 0.333 0.750
Mn 0.667 0.333 0.250
Mn 0.333 0.667 0.750
Br 0.654 0.636 0.132
Br 0.982 0.346 0.132
Br 0.346 0.982 0.632
Br 0.018 0.654 0.868
Br 0.364 0.346 0.368
Br 0.982 0.636 0.368
Br 0.636 0.982 0.868
Br 0.654 0.018 0.368
Br 0.018 0.364 0.632
Br 0.364 0.018 0.132
Br 0.636 0.654 0.632
Br 0.346 0.364 0.868

Crystal system   trigonal
M_tot   5.00 μB/f.u.
Final energy   -0.1556 Ha/atom


Compound: NaMnSn2Br
Source: Alexandria via LeMat-Bulk
Functional: PBE
Structure: optimized geometry

Cell: 5.737 5.307 5.737 Å, 90.00 90.00 90.00°
Atoms (fractional coordinates):
Na 0.000 0.000 0.000
Mn 0.000 0.500 0.000
Sn 0.000 0.000 0.500
Sn 0.500 0.000 0.000
Br 0.500 0.500 0.500

Crystal system   tetragonal
M_tot   4.23 μB/f.u.
Final energy   -0.1169 Ha/atom